Material: NdHf2VO8
Method: DFT, PBE+U
State: relaxed

Output
Density in Mg/m³: 7.2
DOS(E_F) in states/eV/cell: 0.00
VASP energy in eV/atom: -8.903

a b c (Å): 4.8875 4.8842 6.5424
angles (deg): 90.00 90.00 88.19
Closest atoms and distances in Å follow each position.
Positions (direct):
O: 0.3253 0.3253 0.5000  2 Hf 2.09, 1 Nd 2.28
O: 0.8059 0.1946 0.7966  1 V 1.88, 1 Hf 2.09
O: 0.2942 0.2936 0.0000  1 V 2.06, 2 Hf 2.14
O: 0.1941 0.8054 0.2034  1 V 1.88, 1 Hf 2.09
O: 0.6747 0.6747 0.5000  2 Hf 2.09, 1 Nd 2.28
O: 0.7058 0.7064 0.0000  1 V 2.06, 2 Hf 2.14
O: 0.1941 0.8054 0.7966  1 V 1.88, 1 Hf 2.09
O: 0.8059 0.1946 0.2034  1 V 1.88, 1 Hf 2.09
Nd: 0.0000 0.0000 0.5000  6 O 2.28-2.35
Hf: 0.5000 0.5000 0.2416  6 O 2.09-2.14
Hf: 0.5000 0.5000 0.7584  6 O 2.09-2.14
V: 0.0000 0.0000 0.0000  6 O 1.88-2.06